(1)
Here is Ca5Pr12Sc3 after structural relaxation from Alexandria. Energies are from PBE.

Results
Energy of formation: 0.836 eV/atom
Fermi-level density of states: 1.71 states/eV/atom
Magnetic moment: 0.86 μB per formula unit

Cell: 16.8304 16.8304 16.8304 Å, 109.47 109.47 109.47°
Last column: nearest neighbours and their distance in Å.
Element x y z (fractional)
Ca1 0.0000 0.0000 0.0000  6 Pr 3.33
Ca2 0.0000 0.0000 0.5000  6 Pr 3.33
Ca3 0.0000 0.5000 0.0000  6 Pr 3.33
Ca4 0.0000 0.5000 0.5000  6 Pr 3.33
Ca5 0.1250 0.7500 0.8750  4 Pr 3.58
Ca6 0.1250 0.8750 0.2500  4 Pr 3.58
Ca7 0.2500 0.1250 0.8750  4 Pr 3.58
Ca8 0.2500 0.6250 0.3750  4 Pr 3.58
Ca9 0.3750 0.2500 0.6250  4 Pr 3.58
Ca10 0.3750 0.6250 0.7500  4 Pr 3.58
Ca11 0.5000 0.0000 0.0000  6 Pr 3.33
Ca12 0.5000 0.0000 0.5000  6 Pr 3.33
Ca13 0.5000 0.5000 0.0000  6 Pr 3.33
Ca14 0.5000 0.5000 0.5000  6 Pr 3.33
Ca15 0.6250 0.3750 0.2500  4 Pr 3.58
Ca16 0.6250 0.7500 0.3750  4 Pr 3.58
Ca17 0.7500 0.3750 0.6250  4 Pr 3.58
Ca18 0.7500 0.8750 0.1250  4 Pr 3.58
Ca19 0.8750 0.1250 0.7500  4 Pr 3.58
Ca20 0.8750 0.2500 0.1250  4 Pr 3.58
Pr1 0.0539 0.6412 0.4051  1 Sc 3.11, 1 Pr 3.27, 1 Ca 3.33
Pr2 0.0539 0.9127 0.6488  1 Sc 3.11, 1 Pr 3.27, 1 Ca 3.33
Pr3 0.0873 0.2361 0.1412  1 Sc 3.11, 1 Pr 3.27, 1 Ca 3.33
Pr4 0.0873 0.3512 0.9461  1 Sc 3.11, 1 Pr 3.27, 1 Ca 3.33
Pr5 0.0949 0.7361 0.6488  1 Sc 3.11, 1 Pr 3.27, 1 Ca 3.33
Pr6 0.0949 0.8588 0.4461  1 Sc 3.11, 1 Pr 3.27, 1 Ca 3.33
Pr7 0.1412 0.0873 0.2361  1 Sc 3.11, 1 Pr 3.27, 1 Ca 3.33
Pr8 0.1412 0.5539 0.9051  1 Sc 3.11, 1 Pr 3.27, 1 Ca 3.33
Pr9 0.1488 0.2361 0.5949  1 Sc 3.11, 1 Pr 3.27, 1 Ca 3.33
Pr10 0.1488 0.4127 0.5539  1 Sc 3.11, 1 Pr 3.27, 1 Ca 3.33
Pr11 0.2361 0.1412 0.0873  1 Sc 3.11, 1 Pr 3.27, 1 Ca 3.33
Pr12 0.2361 0.5949 0.1488  1 Sc 3.11, 1 Pr 3.27, 1 Ca 3.33
Pr13 0.2639 0.3512 0.9051  1 Sc 3.11, 1 Pr 3.27, 1 Ca 3.33
Pr14 0.2639 0.4127 0.3588  1 Sc 3.11, 1 Pr 3.27, 1 Ca 3.33
Pr15 0.3512 0.9051 0.2639  1 Sc 3.11, 1 Pr 3.27, 1 Ca 3.33
Pr16 0.3512 0.9461 0.0873  1 Sc 3.11, 1 Pr 3.27, 1 Ca 3.33
Pr17 0.3588 0.2639 0.4127  1 Sc 3.11, 1 Pr 3.27, 1 Ca 3.33
Pr18 0.3588 0.5949 0.9461  1 Sc 3.11, 1 Pr 3.27, 1 Ca 3.33
Pr19 0.4051 0.0539 0.6412  1 Sc 3.11, 1 Pr 3.27, 1 Ca 3.33
Pr20 0.4051 0.8512 0.7639  1 Sc 3.11, 1 Pr 3.27, 1 Ca 3.33
Pr21 0.4127 0.3588 0.2639  1 Sc 3.11, 1 Pr 3.27, 1 Ca 3.33
Pr22 0.4127 0.5539 0.1488  1 Sc 3.11, 1 Pr 3.27, 1 Ca 3.33
Pr23 0.4461 0.0949 0.8588  1 Sc 3.11, 1 Pr 3.27, 1 Ca 3.33
Pr24 0.4461 0.8512 0.5873  1 Sc 3.11, 1 Pr 3.27, 1 Ca 3.33
Pr25 0.5539 0.1488 0.4127  1 Sc 3.11, 1 Pr 3.27, 1 Ca 3.33
Pr26 0.5539 0.9051 0.1412  1 Sc 3.11, 1 Pr 3.27, 1 Ca 3.33
Pr27 0.5873 0.4461 0.8512  1 Sc 3.11, 1 Pr 3.27, 1 Ca 3.33
Pr28 0.5873 0.6412 0.7361  1 Sc 3.11, 1 Pr 3.27, 1 Ca 3.33
Pr29 0.5949 0.1488 0.2361  1 Sc 3.11, 1 Pr 3.27, 1 Ca 3.33
Pr30 0.5949 0.9461 0.3588  1 Sc 3.11, 1 Pr 3.27, 1 Ca 3.33
Pr31 0.6412 0.4051 0.0539  1 Sc 3.11, 1 Pr 3.27, 1 Ca 3.33
Pr32 0.6412 0.7361 0.5873  1 Sc 3.11, 1 Pr 3.27, 1 Ca 3.33
Pr33 0.6488 0.0539 0.9127  1 Sc 3.11, 1 Pr 3.27, 1 Ca 3.33
Pr34 0.6488 0.0949 0.7361  1 Sc 3.11, 1 Pr 3.27, 1 Ca 3.33
Pr35 0.7361 0.5873 0.6412  1 Sc 3.11, 1 Pr 3.27, 1 Ca 3.33
Pr36 0.7361 0.6488 0.0949  1 Sc 3.11, 1 Pr 3.27, 1 Ca 3.33
Pr37 0.7639 0.4051 0.8512  1 Sc 3.11, 1 Pr 3.27, 1 Ca 3.33
Pr38 0.7639 0.8588 0.9127  1 Sc 3.11, 1 Pr 3.27, 1 Ca 3.33
Pr39 0.8512 0.5873 0.4461  1 Sc 3.11, 1 Pr 3.27, 1 Ca 3.33
Pr40 0.8512 0.7639 0.4051  1 Sc 3.11, 1 Pr 3.27, 1 Ca 3.33
Pr41 0.8588 0.4461 0.0949  1 Sc 3.11, 1 Pr 3.27, 1 Ca 3.33
Pr42 0.8588 0.9127 0.7639  1 Sc 3.11, 1 Pr 3.27, 1 Ca 3.33
Pr43 0.9051 0.1412 0.5539  1 Sc 3.11, 1 Pr 3.27, 1 Ca 3.33
Pr44 0.9051 0.2639 0.3512  1 Sc 3.11, 1 Pr 3.27, 1 Ca 3.33
Pr45 0.9127 0.6488 0.0539  1 Sc 3.11, 1 Pr 3.27, 1 Ca 3.33
Pr46 0.9127 0.7639 0.8588  1 Sc 3.11, 1 Pr 3.27, 1 Ca 3.33
Pr47 0.9461 0.0873 0.3512  1 Sc 3.11, 1 Pr 3.27, 1 Ca 3.33
Pr48 0.9461 0.3588 0.5949  1 Sc 3.11, 1 Pr 3.27, 1 Ca 3.33
Sc1 0.1250 0.2500 0.3750  4 Pr 3.11
Sc2 0.1250 0.3750 0.7500  4 Pr 3.11
Sc3 0.2500 0.3750 0.1250  4 Pr 3.11
Sc4 0.2500 0.8750 0.6250  4 Pr 3.11
Sc5 0.3750 0.1250 0.2500  4 Pr 3.11
Sc6 0.3750 0.7500 0.1250  4 Pr 3.11
Sc7 0.6250 0.2500 0.8750  4 Pr 3.11
Sc8 0.6250 0.8750 0.7500  4 Pr 3.11
Sc9 0.7500 0.1250 0.3750  4 Pr 3.11
Sc10 0.7500 0.6250 0.8750  4 Pr 3.11
Sc11 0.8750 0.6250 0.2500  4 Pr 3.11
Sc12 0.8750 0.7500 0.6250  4 Pr 3.11

---

(2)
Here is CsTeO2F after structural relaxation from Alexandria. Energies are from PBE.

Results
Fermi-level density of states: 1.13 states/eV/atom
Magnetic moment: 0.00 μB per formula unit

Cell: 4.5656 4.5656 5.1496 Å, 90.00 90.00 90.00°
Last column: nearest neighbours and their distance in Å.
Element x y z (fractional)
Cs1 0.0000 0.0000 0.0000  4 O 2.28
Te1 0.5000 0.5000 0.5000  4 F 3.23, 8 O 3.44
O1 0.0000 0.5000 0.0000  2 Cs 2.28
O2 0.5000 0.0000 0.0000  2 Cs 2.28
F1 0.0000 0.0000 0.5000  2 Cs 2.57

---

(3)
Here is Ac2In2S5 after structural relaxation from Alexandria. Energies are from PBE.

Results
Fermi-level density of states: 0.24 states/eV/atom
Magnetic moment: 0.00 μB per formula unit

Cell: 7.9362 7.9362 7.5479 Å, 117.61 117.61 38.02°
Last column: nearest neighbours and their distance in Å.
Element x y z (fractional)
Ac1 0.1133 0.1133 0.2873  7 S 2.95-3.27
Ac2 0.8867 0.8867 0.7127  7 S 2.95-3.27
In1 0.3509 0.3509 0.1257  5 S 2.61-2.85
In2 0.6491 0.6491 0.8743  5 S 2.61-2.85
S1 0.1328 0.1328 0.9003  3 In 2.61-2.85
S2 0.3374 0.3374 0.4659  1 In 2.67, 1 Ac 2.95
S3 0.5000 0.5000 0.0000  2 In 2.83
S4 0.6626 0.6626 0.5341  1 In 2.67, 1 Ac 2.95
S5 0.8672 0.8672 0.0997  3 In 2.61-2.85

---

(4)
Here is TlWSe3 after structural relaxation from Alexandria. Energies are from PBE.

Results
Distance to the lowest polymorph of the same formula: 0 meV per atom
Magnetic moment: 0.00 μB per formula unit

Cell: 8.2907 6.4348 13.8232 Å, 90.00 121.01 90.00°
Last column: nearest neighbours and their distance in Å.
Element x y z (fractional)
Tl1 0.2249 0.1610 0.2149  6 Se 3.21-3.56
Tl2 0.2249 0.3390 0.7149  6 Se 3.21-3.56
Tl3 0.7751 0.6610 0.2851  6 Se 3.21-3.56
Tl4 0.7751 0.8390 0.7851  6 Se 3.21-3.56
W1 0.4690 0.7007 0.4484  5 Se 2.34-2.58
W2 0.4690 0.7993 0.9484  5 Se 2.34-2.58
W3 0.5310 0.2007 0.0516  5 Se 2.34-2.58
W4 0.5310 0.2993 0.5516  5 Se 2.34-2.58
Se1 0.2390 0.5095 0.4743  2 W 2.45-2.48
Se2 0.2390 0.9905 0.9743  2 W 2.45-2.48
Se3 0.2830 0.0153 0.4553  2 W 2.55-2.58
Se4 0.2830 0.4847 0.9553  2 W 2.55-2.58
Se5 0.3581 0.6848 0.2552  1 W 2.34
Se6 0.3581 0.8152 0.7552  1 W 2.34
Se7 0.6419 0.1848 0.2448  1 W 2.34
Se8 0.6419 0.3152 0.7448  1 W 2.34
Se9 0.7170 0.5153 0.0447  2 W 2.55-2.58
Se10 0.7170 0.9847 0.5447  2 W 2.55-2.58
Se11 0.7610 0.0095 0.0257  2 W 2.45-2.48
Se12 0.7610 0.4905 0.5257  2 W 2.45-2.48

---

(5)
Here is In5GaBr8 after structural relaxation from Alexandria. Energies are from PBE.

Results
Fermi-level density of states: 0.00 states/eV/atom
Magnetic moment: 0.00 μB per formula unit

Cell: 9.3650 9.3650 9.3650 Å, 119.87 119.87 90.23°
Last column: nearest neighbours and their distance in Å.
Element x y z (fractional)
In1 0.0000 0.0000 0.0000  4 Br 3.18
In2 0.1190 0.3719 0.7440  3 Br 3.11-3.12
In3 0.6251 0.8810 0.2529  3 Br 3.11-3.12
In4 0.6281 0.3721 0.7471  3 Br 3.11-3.12
In5 0.6279 0.3749 0.2560  3 Br 3.11-3.12
Ga1 0.2500 0.7500 0.5000  4 Br 2.37
Br1 0.3503 0.6465 0.2901  1 Ga 2.37
Br2 0.3535 0.6436 0.7038  1 Ga 2.37
Br3 0.3564 0.0603 0.7099  1 Ga 2.37
Br4 0.4161 0.1395 0.2789  4 In 3.11-3.18
Br5 0.8605 0.1372 0.7211  4 In 3.11-3.18
Br6 0.8605 0.1395 0.2766  4 In 3.11-3.18
Br7 0.8628 0.5839 0.7234  4 In 3.11-3.18
Br8 0.9397 0.6497 0.2962  1 Ga 2.37

---

(6)
Here is Tl2CoP after structural relaxation from Alexandria. Energies are from PBE.

Results
Energy of formation: 0.656 eV/atom
Fermi-level density of states: 1.14 states/eV/atom
Distance to the lowest polymorph of the same formula: 597 meV per atom
Magnetic moment: 1.50 μB per formula unit

Cell: 3.7186 3.7186 7.3519 Å, 104.41 104.41 59.82°
Last column: nearest neighbours and their distance in Å.
Element x y z (fractional)
Tl1 0.2483 0.2483 0.2445  3 Co 2.75, 3 P 2.80
Tl2 0.7517 0.7517 0.7555  3 Co 2.75, 3 P 2.80
Co1 0.5000 0.5000 0.0000  6 Tl 2.75
P1 0.0000 0.0000 0.5000  6 Tl 2.80

---

The records above yield calculated total energy values of -0.1280 -0.1009 -0.1868 -0.2027 -0.1051 -0.1343 Ha/atom, respectively.
The records above yield calculated volume values of 3670 107 255 632 582 84 Å³/cell, respectively.